{
  "formula": "BaSm2S3",
  "functional": "PBE",
  "state": "relaxed",
  "cell": [[-0.418, -2.063, -3.553], [3.751, 1.143, 1.295], [0.976, -8.989, 5.104]],
  "species": ["Ba", "S", "S", "S", "Sm", "Sm"],
  "frac_coords": [[0.000, 0.000, 0.000], [0.333, 0.667, 0.196], [0.000, 0.000, 0.500], [0.667, 0.333, 0.804], [0.667, 0.333, 0.350], [0.333, 0.667, 0.650]],
  "crystal_system": "trigonal",
  "space_group": "No. 164",
  "dft_energy_ev_per_atom": -5.9758
}

=====

{
  "formula": "Ba2TaSnS6",
  "functional": "PBE",
  "state": "relaxed",
  "cell": [[7.130, 0.000, 0.000], [0.000, 7.130, 0.000], [3.565, 3.565, 5.042]],
  "species": ["Ba", "Ba", "S", "S", "S", "S", "S", "S", "Sn", "Ta"],
  "frac_coords": [[0.250, 0.750, 0.500], [0.750, 0.250, 0.500], [0.759, 0.241, 0.000], [0.241, 0.241, 0.000], [0.241, 0.759, 0.000], [0.759, 0.759, 0.000], [0.759, 0.759, 0.483], [0.241, 0.241, 0.517], [0.500, 0.500, 0.000], [0.000, 0.000, 0.000]],
  "crystal_system": "cubic",
  "space_group": "No. 225",
  "dft_energy_ev_per_atom": -5.6256
}

=====

{
  "formula": "Ba2YTaS6",
  "functional": "PBE",
  "state": "relaxed",
  "cell": [[6.208, -3.584, 0.000], [6.208, 3.584, 0.000], [-4.139, 0.000, 5.853]],
  "species": ["Ba", "Ba", "S", "S", "S", "S", "S", "S", "Ta", "Y"],
  "frac_coords": [[0.750, 0.750, 0.250], [0.250, 0.250, 0.750], [0.760, 0.240, 0.240], [0.240, 0.760, 0.240], [0.240, 0.240, 0.240], [0.760, 0.240, 0.760], [0.760, 0.760, 0.760], [0.240, 0.760, 0.760], [0.000, 0.000, 0.000], [0.500, 0.500, 0.500]],
  "crystal_system": "cubic",
  "space_group": "No. 225",
  "dft_energy_ev_per_atom": -6.3694
}

=====

{
  "formula": "BaTbTlS3",
  "functional": "PBE",
  "state": "relaxed",
  "cell": [[2.068, -7.734, 0.000], [2.068, 7.734, 0.000], [0.000, 0.000, 11.722]],
  "species": ["Ba", "Ba", "S", "S", "S", "S", "S", "S", "Tb", "Tb", "Tl", "Tl"],
  "frac_coords": [[0.659, 0.341, 0.250], [0.341, 0.659, 0.750], [0.617, 0.383, 0.002], [0.006, 0.994, 0.250], [0.617, 0.383, 0.498], [0.383, 0.617, 0.502], [0.994, 0.006, 0.750], [0.383, 0.617, 0.998], [0.000, 0.000, 0.000], [0.000, 0.000, 0.500], [0.370, 0.630, 0.250], [0.630, 0.370, 0.750]],
  "crystal_system": "orthorhombic",
  "space_group": "No. 63",
  "dft_energy_ev_per_atom": -5.0177
}

=====

{
  "formula": "BaTbTmS3",
  "functional": "PBE",
  "state": "relaxed",
  "cell": [[-1.410, -3.896, 0.874], [3.310, -0.385, -6.631], [9.195, -2.269, 4.722]],
  "species": ["Ba", "Ba", "S", "S", "S", "S", "S", "S", "Tb", "Tb", "Tm", "Tm"],
  "frac_coords": [[0.259, 0.519, 0.250], [0.741, 0.481, 0.750], [0.631, 0.263, 0.049], [0.922, 0.844, 0.250], [0.631, 0.263, 0.451], [0.369, 0.737, 0.549], [0.078, 0.156, 0.750], [0.369, 0.737, 0.951], [0.000, 0.000, 0.000], [0.000, 0.000, 0.500], [0.532, 0.065, 0.250], [0.468, 0.935, 0.750]],
  "crystal_system": "orthorhombic",
  "space_group": "No. 63",
  "dft_energy_ev_per_atom": -5.6259
}

=====

{
  "formula": "BaTbYS3",
  "functional": "PBE",
  "state": "relaxed",
  "cell": [[-2.826, 3.182, -0.501], [-1.852, -5.302, -4.895], [-6.314, -4.469, 7.230]],
  "species": ["Ba", "Ba", "S", "S", "S", "S", "S", "S", "Tb", "Tb", "Y", "Y"],
  "frac_coords": [[0.260, 0.519, 0.250], [0.740, 0.481, 0.750], [0.631, 0.262, 0.044], [0.919, 0.838, 0.250], [0.631, 0.262, 0.456], [0.369, 0.738, 0.544], [0.081, 0.162, 0.750], [0.369, 0.738, 0.956], [0.000, 0.000, 0.000], [0.000, 0.000, 0.500], [0.533, 0.065, 0.250], [0.467, 0.935, 0.750]],
  "crystal_system": "orthorhombic",
  "polymorph_energy_mev_per_atom": 0,
  "space_group": "No. 63",
  "dft_energy_ev_per_atom": -5.9557
}

=====

{
  "formula": "BaTbYS3",
  "functional": "PBE",
  "state": "relaxed",
  "cell": [[4.309, 0.000, 0.000], [-2.155, 7.129, 0.000], [0.000, 0.000, 10.540]],
  "species": ["Ba", "Ba", "S", "S", "S", "S", "S", "S", "Tb", "Tb", "Y", "Y"],
  "frac_coords": [[0.259, 0.518, 0.250], [0.741, 0.482, 0.750], [0.630, 0.260, 0.042], [0.918, 0.835, 0.250], [0.630, 0.260, 0.458], [0.370, 0.740, 0.542], [0.082, 0.165, 0.750], [0.370, 0.740, 0.958], [0.531, 0.062, 0.250], [0.469, 0.938, 0.750], [0.000, 0.000, 0.000], [0.000, 0.000, 0.500]],
  "crystal_system": "orthorhombic",
  "polymorph_energy_mev_per_atom": 9,
  "space_group": "No. 63",
  "dft_energy_ev_per_atom": -5.9466
}

=====

{
  "formula": "BaTbZnS3",
  "functional": "PBE",
  "state": "relaxed",
  "cell": [[-0.370, 4.247, 5.756], [-1.421, -0.747, -6.981], [-9.311, -3.955, 2.319]],
  "species": ["Ba", "Ba", "S", "S", "S", "S", "S", "S", "Tb", "Tb", "Zn", "Zn"],
  "frac_coords": [[0.753, 0.247, 0.250], [0.247, 0.753, 0.750], [0.132, 0.868, 0.069], [0.434, 0.566, 0.250], [0.132, 0.868, 0.431], [0.868, 0.132, 0.569], [0.566, 0.434, 0.750], [0.868, 0.132, 0.931], [0.500, 0.500, 0.000], [0.500, 0.500, 0.500], [0.026, 0.974, 0.250], [0.974, 0.026, 0.750]],
  "crystal_system": "orthorhombic",
  "space_group": "No. 63",
  "dft_energy_ev_per_atom": -4.9003
}